Computed, not measured: a relaxed structure of Mn2AuIF at the PBE with a Hubbard U level of DFT.

```
Mn2AuIF
1.0
5.1598 0.0000 0.0000
0.0000 4.5537 0.0000
0.0000 0.0000 5.1598
I Mn Au F
1 2 1 1
Direct
0.5000 0.5000 0.5000 I
0.0000 0.0000 0.5000 Mn
0.5000 0.0000 0.0000 Mn
0.0000 0.0000 0.0000 Au
0.0000 0.5000 0.0000 F
```

Values from the calculation:
The calculated total energy comes out at -4.378 eV/atom. For the total magnetic moment, the calculation gives 10.4 μB per formula unit. For the density of states at the Fermi level, the calculation gives 0.474 states/eV per atom.